(1)
A geometry-optimized Ca2TaSi structure. Source: Alexandria, functional GGA-PBE.

Symmetry: No. 216
Calculated total energy, eV/cell: -19.22
Fermi-level density of states, states/eV per atom: 0.690
Raw formation energy, eV per atom: 0.516

Structure (POSCAR):
```
Ca2TaSi
1.0
-2.141 -2.190 -3.896
-1.335 -4.765 0.261
-4.799 -1.222 0.173
Ca Si Ta
2 1 1
direct
0.000 0.000 0.000
0.250 0.250 0.250
0.500 0.500 0.500
0.750 0.750 0.750
```

=====

(2)
A geometry-optimized CaTa2Si structure. Source: Alexandria, functional GGA-PBE.

Symmetry: No. 216
Calculated total energy, eV/cell: -29.56
Fermi-level density of states, states/eV per atom: 1.041
Raw formation energy, eV per atom: 0.393

Structure (POSCAR):
```
CaTa2Si
1.0
-0.368 -2.381 -4.093
-0.091 -4.749 0.015
-4.018 -2.301 -1.055
Ca Si Ta
1 1 2
direct
0.500 0.500 0.500
0.750 0.750 0.750
0.000 0.000 0.000
0.250 0.250 0.250
```

=====

(3)
A geometry-optimized CaTaSi structure. Source: Alexandria, functional GGA-PBE.

Symmetry: No. 187
Calculated total energy, eV/cell: -18.38
Fermi-level density of states, states/eV per atom: 1.080
Raw formation energy, eV per atom: 0.300

Structure (POSCAR):
```
CaTaSi
1.0
4.487 0.000 0.000
-2.244 3.886 0.000
0.000 0.000 3.785
Ca Si Ta
1 1 1
direct
0.000 0.000 0.000
0.333 0.667 0.500
0.667 0.333 0.500
```

=====

(4)
A geometry-optimized Ca2TaSi structure. Source: Alexandria, functional GGA-PBE.

Symmetry: No. 99
Calculated total energy, eV/cell: -20.55
Fermi-level density of states, states/eV per atom: 1.206
Raw formation energy, eV per atom: 0.182

Structure (POSCAR):
```
Ca2TaSi
1.0
3.185 0.000 0.000
0.000 3.185 0.000
0.000 0.000 9.540
Ca Si Ta
2 1 1
direct
0.000 0.000 0.963
0.500 0.500 0.316
0.000 0.000 0.529
0.500 0.500 0.692
```